Density functional theory data (PBE) for a geometry-optimized Cd2SO6 structure.

Calculated values
Formation energy (no corrections) ... -5.71 eV/f.u.
Energy above the most stable polymorph in this dataset ... 0.377 eV/atom

a = 4.8181 Å, b = 4.8181 Å, c = 9.4799 Å
α = 90.00°, β = 90.00°, γ = 90.00°
Last column: magnetic moment on the atom in μB.
Sites, in units of the cell vectors:
Cd: 0.0000 0.0000 0.3346  0.01
O: 0.6696 0.6696 0.3737  0.26
S: 0.0000 0.0000 0.0000  -0.03
O: 0.1696 0.8304 0.1263  0.26
O: 0.2421 0.2421 0.0000  0.38
O: 0.3304 0.3304 0.3737  0.26
O: 0.1696 0.8304 0.8737  0.26
O: 0.2579 0.7421 0.5000  0.38
Cd: 0.0000 0.0000 0.6654  0.01
O: 0.7421 0.2579 0.5000  0.38
O: 0.3304 0.3304 0.6263  0.26
Cd: 0.5000 0.5000 0.1654  0.01
O: 0.7579 0.7579 0.0000  0.38
Cd: 0.5000 0.5000 0.8346  0.01
O: 0.8304 0.1696 0.8737  0.26
S: 0.5000 0.5000 0.5000  -0.03
O: 0.8304 0.1696 0.1263  0.26
O: 0.6696 0.6696 0.6263  0.26

=====

Density functional theory data (PBE) for a geometry-optimized Sc6Cd2SO structure.

Calculated values
Formation energy (no corrections) ... -11.01 eV/f.u.

a = 6.5641 Å, b = 6.5641 Å, c = 9.2829 Å
α = 90.00°, β = 90.00°, γ = 90.00°
Sites, in units of the cell vectors:
Sc: 0.7378 0.0123 0.0000
Sc: 0.2622 0.0123 0.0000
Sc: 0.5000 0.2500 0.2377
Sc: 0.0000 0.7500 0.7377
Cd: 0.5000 0.7500 0.7500
Sc: 0.5000 0.2500 0.7623
Sc: 0.7622 0.9877 0.5000
Cd: 0.0000 0.2500 0.2500
Sc: 0.2622 0.4878 0.0000
S: 0.0000 0.7501 0.0000
Sc: 0.7622 0.5122 0.5000
O: 0.5000 0.2501 0.0000
Sc: 0.2378 0.9877 0.5000
Sc: 0.0000 0.7500 0.2623
S: 0.5000 0.2499 0.5000
Cd: 0.5000 0.7500 0.2500
Sc: 0.2378 0.5122 0.5000
Sc: 0.7378 0.4878 0.0000
O: 0.0000 0.7499 0.5000
Cd: 0.0000 0.2500 0.7500

=====

Density functional theory data (PBE) for a geometry-optimized SrCdS2O8 structure.

Calculated values
Formation energy (no corrections) ... -21.20 eV/f.u.

a = 5.1574 Å, b = 5.1574 Å, c = 7.6022 Å
α = 90.00°, β = 90.00°, γ = 120.00°
Sites, in units of the cell vectors:
O: 0.3333 0.6667 0.9679
O: 0.6402 0.7504 0.7110
O: 0.3598 0.2496 0.2890
O: 0.1102 0.3598 0.7110
O: 0.7504 0.1102 0.2890
O: 0.2496 0.8898 0.7110
Cd: 0.0000 0.0000 0.5000
S: 0.3333 0.6667 0.7725
O: 0.6667 0.3333 0.0321
Sr: 0.0000 0.0000 0.0000
S: 0.6667 0.3333 0.2275
O: 0.8898 0.6402 0.2890

=====

Density functional theory data (PBE) for a geometry-optimized ZnCdS2O8 structure.

Calculated values
Formation energy (no corrections) ... -15.26 eV/f.u.

a = 5.8000 Å, b = 5.8000 Å, c = 5.8000 Å
α = 104.35°, β = 104.35°, γ = 120.29°
Sites, in units of the cell vectors:
O: 0.9049 0.2362 0.3312
O: 0.3363 0.4998 0.1634
O: 0.4263 0.0951 0.3312
O: 0.8271 0.6637 0.1634
S: 0.7500 0.2500 0.5000
O: 0.3363 0.1729 0.8366
Zn: 0.0000 0.0000 0.0000
Cd: 0.2500 0.7500 0.5000
O: 0.5002 0.6637 0.8366
O: 0.7638 0.0951 0.6688
O: 0.9049 0.5737 0.6688
S: 0.5000 0.5000 0.0000

=====

Density functional theory data (PBE) for a geometry-optimized CdSb2O structure.

Calculated values
Formation energy (no corrections) ... 0.99 eV/f.u.
Energy above the most stable polymorph in this dataset ... 0.429 eV/atom

a = 4.8579 Å, b = 4.8579 Å, c = 4.8579 Å
α = 60.00°, β = 60.00°, γ = 60.00°
Sites, in units of the cell vectors:
Cd: 0.5000 0.5000 0.5000
O: 0.0000 0.0000 0.0000
Sb: 0.2500 0.2500 0.2500
Sb: 0.7500 0.7500 0.7500

=====

Density functional theory data (PBE) for a geometry-optimized Cd12Sb3O5 structure.

Calculated values
Formation energy (no corrections) ... -7.38 eV/f.u.

a = 13.1727 Å, b = 13.1727 Å, c = 13.1727 Å
α = 109.47°, β = 109.47°, γ = 109.47°
Sites, in units of the cell vectors:
Cd: 0.8931 0.5945 0.9114
Cd: 0.6831 0.4817 0.5886
Cd: 0.6069 0.5886 0.9055
Cd: 0.4055 0.2986 0.3169
Cd: 0.2986 0.4055 0.8169
O: 0.7500 0.1250 0.8750
Cd: 0.1069 0.4055 0.0886
Cd: 0.1831 0.0945 0.7014
Cd: 0.6069 0.0183 0.2014
Cd: 0.3931 0.9817 0.7986
Sb: 0.8750 0.7500 0.1250
Sb: 0.6250 0.2500 0.3750
Cd: 0.5886 0.9817 0.6831
Cd: 0.4817 0.6831 0.0886
Cd: 0.0183 0.4114 0.8169
Sb: 0.3750 0.7500 0.6250
Cd: 0.5183 0.3169 0.9114
Cd: 0.0886 0.1831 0.4817
O: 0.0000 0.5000 0.0000
Cd: 0.0183 0.6069 0.7014
Cd: 0.9114 0.0945 0.8931
O: 0.6250 0.8750 0.2500
Cd: 0.9817 0.5886 0.1831
O: 0.5000 0.5000 0.5000
O: 0.1250 0.3750 0.2500
Cd: 0.0945 0.9114 0.3931
Sb: 0.1250 0.8750 0.7500
O: 0.3750 0.2500 0.1250
O: 0.1250 0.7500 0.3750
Sb: 0.3750 0.6250 0.2500
Sb: 0.7500 0.8750 0.6250
Cd: 0.7014 0.1069 0.0183
Cd: 0.1831 0.0886 0.9817
O: 0.2500 0.3750 0.6250
Cd: 0.2014 0.6831 0.0945
Cd: 0.3931 0.4114 0.0945
Cd: 0.7986 0.3169 0.9055
O: 0.5000 0.5000 0.0000
O: 0.7500 0.6250 0.3750
Sb: 0.7500 0.3750 0.1250
Cd: 0.2986 0.8931 0.9817
Cd: 0.9114 0.8169 0.5183
Cd: 0.9055 0.8169 0.7986
Sb: 0.6250 0.3750 0.7500
Cd: 0.7986 0.4817 0.3931
Cd: 0.0886 0.9055 0.1069
O: 0.8750 0.6250 0.7500
Sb: 0.2500 0.1250 0.3750
Cd: 0.1069 0.7014 0.5183
Cd: 0.0945 0.1831 0.2014
Cd: 0.5183 0.2014 0.1069
O: 0.0000 0.0000 0.5000
Sb: 0.1250 0.2500 0.8750
Cd: 0.9055 0.0886 0.6069
Cd: 0.3169 0.7986 0.4055
O: 0.6250 0.7500 0.8750
Cd: 0.8931 0.2986 0.4817
O: 0.0000 0.0000 0.0000
O: 0.5000 0.0000 0.0000
O: 0.8750 0.2500 0.6250
Cd: 0.8169 0.9055 0.2986
O: 0.5000 0.0000 0.5000
Cd: 0.3169 0.5183 0.4114
Cd: 0.4114 0.3931 0.5945
Cd: 0.6831 0.2014 0.5945
O: 0.0000 0.5000 0.5000
Cd: 0.4817 0.7986 0.8931
Cd: 0.2014 0.5183 0.6069
Cd: 0.5945 0.8931 0.4114
Cd: 0.8169 0.9114 0.0183
Cd: 0.4055 0.1069 0.5886
Cd: 0.7014 0.5945 0.1831
Sb: 0.2500 0.6250 0.8750
Cd: 0.5886 0.6069 0.4055
Cd: 0.4114 0.0183 0.3169
Sb: 0.8750 0.1250 0.2500
O: 0.3750 0.1250 0.7500
Cd: 0.5945 0.7014 0.6831
O: 0.2500 0.8750 0.1250
Cd: 0.9817 0.3931 0.2986

=====

no.,total magnetization (Bohr magnetons per cell)
1,4.1
2,0.0
3,0.0
4,0.0
5,0.0
6,0.0